[1]
## SrAc3Ir (PBE)

Data for a relaxed structure of SrAc3Ir.

- Energy of formation from the pure elements: -1.61 eV/f.u.

Unit cell a=5.9924 b=5.9924 c=5.9924 alpha=90.00 beta=90.00 gamma=90.00
Last column: nearest neighbours and their distance in Å.
Fractional coordinates of all 5 atoms:
Sr 0.0000 0.0000 0.0000  12 Ac 4.24
Ac 0.0000 0.5000 0.5000  2 Ir 3.00
Ac 0.5000 0.0000 0.5000  2 Ir 3.00
Ac 0.5000 0.5000 0.0000  2 Ir 3.00
Ir 0.5000 0.5000 0.5000  6 Ac 3.00

=====

[2]
## SrAc8Ir6 (PBE)

Data for a relaxed structure of SrAc8Ir6.

- Energy of formation from the pure elements: -7.41 eV/f.u.

Unit cell a=11.0380 b=11.0380 c=11.0380 alpha=40.28 beta=40.28 gamma=40.28
Last column: nearest neighbours and their distance in Å.
Fractional coordinates of all 15 atoms:
Sr 0.0000 0.0000 0.0000  6 Ir 3.17
Ac 0.1080 0.7748 0.4400  3 Ir 2.87-2.92
Ac 0.2252 0.5600 0.8920  3 Ir 2.87-2.92
Ac 0.3334 0.3334 0.3334  6 Ir 3.12
Ac 0.4400 0.1080 0.7748  3 Ir 2.87-2.92
Ac 0.5600 0.8920 0.2252  3 Ir 2.87-2.92
Ac 0.6666 0.6666 0.6666  6 Ir 3.12
Ac 0.7748 0.4400 0.1080  3 Ir 2.87-2.92
Ac 0.8920 0.2252 0.5600  3 Ir 2.87-2.92
Ir 0.0609 0.3999 0.7223  5 Ac 2.87-3.12, 1 Sr 3.17
Ir 0.2777 0.9391 0.6001  5 Ac 2.87-3.12, 1 Sr 3.17
Ir 0.3999 0.7223 0.0609  5 Ac 2.87-3.12, 1 Sr 3.17
Ir 0.6001 0.2777 0.9391  5 Ac 2.87-3.12, 1 Sr 3.17
Ir 0.7223 0.0609 0.3999  5 Ac 2.87-3.12, 1 Sr 3.17
Ir 0.9391 0.6001 0.2777  5 Ac 2.87-3.12, 1 Sr 3.17

=====

[3]
## SrAc2Ir9 (PBE)

Data for a relaxed structure of SrAc2Ir9.

- Energy of formation from the pure elements: -3.96 eV/f.u.

Unit cell a=9.4850 b=9.4850 c=9.4850 alpha=33.63 beta=33.63 gamma=33.63
Last column: nearest neighbours and their distance in Å.
Fractional coordinates of all 12 atoms:
Sr 0.0000 0.0000 0.0000  18 Ir 3.17-3.46
Ac 0.1385 0.1385 0.1385  12 Ir 3.18-3.51, 3 Ac 3.51
Ac 0.8615 0.8615 0.8615  12 Ir 3.18-3.51, 3 Ac 3.51
Ir 0.0865 0.5747 0.5747  7 Ir 2.60-2.82
Ir 0.3304 0.3304 0.3304  6 Ir 2.60-2.68
Ir 0.4253 0.4253 0.9135  7 Ir 2.60-2.82
Ir 0.4253 0.9135 0.4253  7 Ir 2.60-2.82
Ir 0.5000 0.5000 0.5000  6 Ir 2.82
Ir 0.5747 0.0865 0.5747  7 Ir 2.60-2.82
Ir 0.5747 0.5747 0.0865  7 Ir 2.60-2.82
Ir 0.6696 0.6696 0.6696  6 Ir 2.60-2.68
Ir 0.9135 0.4253 0.4253  7 Ir 2.60-2.82

=====

[4]
## Sr2AcIr (PBE)

Data for a relaxed structure of Sr2AcIr.

- Energy above the most stable polymorph in this dataset: 31 meV per atom
- Energy of formation from the pure elements: -1.10 eV/f.u.

Unit cell a=4.3818 b=4.3818 c=10.2159 alpha=90.06 beta=90.06 gamma=59.97
Last column: nearest neighbours and their distance in Å.
Fractional coordinates of all 4 atoms:
Sr 0.0000 0.0000 0.0000  3 Ac 4.31, 9 Sr 4.38-4.39
Sr 0.6677 0.6677 0.6490  3 Ir 3.07
Ac 0.3339 0.3339 0.3413  3 Ir 2.89
Ir 0.0008 0.0008 0.4789  3 Ac 2.89, 3 Sr 3.07

=====

[5]
## SrAc8Ir4 (PBE)

Data for a relaxed structure of SrAc8Ir4.

- Energy of formation from the pure elements: -7.08 eV/f.u.

Unit cell a=10.8707 b=10.8707 c=14.5320 alpha=130.31 beta=130.31 gamma=23.51
Last column: nearest neighbours and their distance in Å.
Fractional coordinates of all 13 atoms:
Sr 0.0000 0.0000 0.0000  10 Ac 4.40-4.49, 2 Sr 4.43
Ac 0.0417 0.0417 0.7347  3 Ir 2.99-3.00
Ac 0.2906 0.2906 0.9316  3 Ir 3.00
Ac 0.3329 0.3329 0.6515  3 Ir 3.00
Ac 0.3639 0.3639 0.4066  3 Ir 2.99
Ac 0.6361 0.6361 0.5934  3 Ir 2.99
Ac 0.6671 0.6671 0.3485  3 Ir 3.00
Ac 0.7094 0.7094 0.0684  3 Ir 3.00
Ac 0.9583 0.9583 0.2653  3 Ir 2.99-3.00
Ir 0.1452 0.1452 0.4642  6 Ac 2.99-3.00
Ir 0.3356 0.3356 0.1758  6 Ac 2.99-3.00
Ir 0.6644 0.6644 0.8242  6 Ac 2.99-3.00
Ir 0.8548 0.8548 0.5358  6 Ac 2.99-3.00

=====

[6]
## SrAc3Ir2 (PBE)

Data for a relaxed structure of SrAc3Ir2.

- Energy of formation from the pure elements: -2.97 eV/f.u.

Unit cell a=9.5333 b=9.5333 c=13.7265 alpha=124.75 beta=124.75 gamma=26.73
Last column: nearest neighbours and their distance in Å.
Fractional coordinates of all 12 atoms:
Sr 0.0636 0.0636 0.1950  3 Ir 3.06-3.08
Sr 0.9364 0.9364 0.8050  3 Ir 3.06-3.08
Ac 0.1901 0.1901 0.5546  3 Ir 2.92-2.98
Ac 0.3107 0.3107 0.9482  3 Ir 2.93-2.97
Ac 0.4413 0.4413 0.3055  3 Ir 2.94-2.98
Ac 0.5587 0.5587 0.6945  3 Ir 2.94-2.98
Ac 0.6893 0.6893 0.0518  3 Ir 2.93-2.97
Ac 0.8099 0.8099 0.4454  3 Ir 2.92-2.98
Ir 0.1272 0.1272 0.8744  5 Ac 2.93-2.98, 1 Sr 3.08
Ir 0.3733 0.3733 0.6167  4 Ac 2.92-2.98, 2 Sr 3.06
Ir 0.6267 0.6267 0.3833  4 Ac 2.92-2.98, 2 Sr 3.06
Ir 0.8728 0.8728 0.1256  5 Ac 2.93-2.98, 1 Sr 3.08

=====

[7]
## Sr2Ac2Ir (PBE)

Data for a relaxed structure of Sr2Ac2Ir.

- Energy above the most stable polymorph in this dataset: 49 meV per atom
- Energy of formation from the pure elements: -1.50 eV/f.u.

Unit cell a=5.9029 b=5.9029 c=6.1759 alpha=90.00 beta=90.00 gamma=90.00
Last column: nearest neighbours and their distance in Å.
Fractional coordinates of all 5 atoms:
Sr 0.0000 0.0000 0.0000  2 Ir 3.09
Sr 0.5000 0.5000 0.0000  4 Sr 4.17, 8 Ac 4.27
Ac 0.0000 0.5000 0.5000  2 Ir 2.95
Ac 0.5000 0.0000 0.5000  2 Ir 2.95
Ir 0.0000 0.0000 0.5000  4 Ac 2.95, 2 Sr 3.09

=====

[8]
## Sr2AcIr (PBE)

Data for a relaxed structure of Sr2AcIr.

- Energy above the most stable polymorph in this dataset: 0 meV per atom
- Energy of formation from the pure elements: -1.23 eV/f.u.

Unit cell a=7.2672 b=7.2672 c=10.1522 alpha=90.00 beta=90.00 gamma=146.10
Last column: nearest neighbours and their distance in Å.
Fractional coordinates of all 8 atoms:
Sr 0.1531 0.8469 0.5717  3 Ir 3.27-3.41, 1 Sr 3.62
Sr 0.1531 0.8469 0.9283  3 Ir 3.27-3.41, 1 Sr 3.62
Sr 0.8469 0.1531 0.0717  3 Ir 3.27-3.41, 1 Sr 3.62
Sr 0.8469 0.1531 0.4283  3 Ir 3.27-3.41, 1 Sr 3.62
Ac 0.4128 0.5872 0.7500  2 Ir 2.85
Ac 0.5872 0.4128 0.2500  2 Ir 2.85
Ir 0.2239 0.7761 0.2500  2 Ac 2.85
Ir 0.7761 0.2239 0.7500  2 Ac 2.85

=====

[9]
## SrAcZnIr (PBE)

Data for a relaxed structure of SrAcZnIr.

- Energy above the most stable polymorph in this dataset: 178 meV per atom
- Energy of formation from the pure elements: -0.94 eV/f.u.

Unit cell a=5.3012 b=5.3012 c=5.3012 alpha=60.00 beta=60.00 gamma=60.00
Last column: nearest neighbours and their distance in Å.
Fractional coordinates of all 4 atoms:
Sr 0.0000 0.0000 0.0000  4 Ir 3.25, 4 Zn 3.25
Ac 0.5000 0.5000 0.5000  4 Ir 3.25, 4 Zn 3.25
Zn 0.2500 0.2500 0.2500  4 Ac 3.25, 4 Sr 3.25
Ir 0.7500 0.7500 0.7500  4 Ac 3.25, 4 Sr 3.25

=====

[10]
## SrAcZn2Ir2 (PBE)

Data for a relaxed structure of SrAcZn2Ir2.

- Energy of formation from the pure elements: -2.60 eV/f.u.

Unit cell a=4.3655 b=4.3655 c=8.5882 alpha=90.00 beta=90.00 gamma=120.00
Last column: nearest neighbours and their distance in Å.
Fractional coordinates of all 6 atoms:
Sr 0.0000 0.0000 0.0000  6 Zn 3.27, 6 Ir 3.38
Ac 0.0000 0.0000 0.5000  6 Ir 3.24, 6 Zn 3.35
Zn 0.3333 0.6667 0.7568  3 Ir 2.53
Zn 0.6667 0.3333 0.2432  3 Ir 2.53
Ir 0.3333 0.6667 0.2630  3 Zn 2.53
Ir 0.6667 0.3333 0.7370  3 Zn 2.53

=====

[11]
## SrAcZnIr (PBE)

Data for a relaxed structure of SrAcZnIr.

- Energy above the most stable polymorph in this dataset: 0 meV per atom
- Energy of formation from the pure elements: -1.65 eV/f.u.

Unit cell a=4.4272 b=4.4272 c=8.2116 alpha=105.72 beta=105.72 gamma=60.02
Last column: nearest neighbours and their distance in Å.
Fractional coordinates of all 4 atoms:
Sr 0.0000 0.0000 0.0000  3 Zn 3.20, 3 Ir 3.38
Ac 0.1694 0.1694 0.5049  3 Ir 3.09, 3 Zn 3.25
Zn 0.4163 0.4163 0.2470  3 Ir 2.57
Ir 0.7617 0.7617 0.2829  3 Zn 2.57

=====

[12]
## AcTaIr2 (PBE)

Data for a relaxed structure of AcTaIr2.

- Energy of formation from the pure elements: -1.58 eV/f.u.

Unit cell a=3.2619 b=3.2619 c=7.7240 alpha=90.00 beta=90.00 gamma=90.00
Last column: nearest neighbours and their distance in Å.
Fractional coordinates of all 4 atoms:
Ac 0.0000 0.0000 0.0000  4 Ac 3.26, 8 Ir 3.32
Ta 0.0000 0.0000 0.5000  8 Ir 2.73
Ir 0.5000 0.5000 0.3098  4 Ta 2.73, 1 Ir 2.94
Ir 0.5000 0.5000 0.6902  4 Ta 2.73, 1 Ir 2.94

=====

- Which of these has the lowest energy of formation from the pure elements?
  SrAc8Ir6

=====

- Among the records above, which one has the lowest energy of formation from the pure elements?
  SrAc8Ir6

=====

- What is the energy of formation from the pure elements in the fourth record?
  -1.10 eV/f.u.